Entry 1:
The following is a PBE-GGA calculation of a relaxed Cd3Sb5 crystal, from Alexandria.

a b c (Å): 8.8011 8.8011 6.6532
angles (deg): 90.00 90.00 120.00
Last column: nearest neighbours and their distance in Å.
Space group P6_3/mcm (No. 193)
Unique sites:
Cd1 0.0000 0.4251 0.2500 x6  7 Sb 3.11-3.36
Sb1 0.0000 0.1935 0.7500 x6  2 Sb 2.95, 2 Cd 3.24
Sb2 0.3333 0.6667 0.0000 x4  6 Cd 3.11, 2 Sb 3.33

**Final energy**: -0.1995 Ry per atom
**E_form (uncorrected)**: 0.205 eV/atom

---

Entry 2:
The following is a PBE-GGA calculation of a relaxed CdSb3 crystal, from Alexandria.

a b c (Å): 5.6221 5.6221 6.7868
angles (deg): 90.00 90.00 90.00
Last column: nearest neighbours and their distance in Å.
Space group I4/mmm (No. 139)
Unique sites:
Cd1 0.0000 0.0000 0.0000 x2  10 Sb 3.28-3.39
Sb1 0.0000 0.0000 0.5000 x2  8 Sb 3.28, 2 Cd 3.39
Sb2 0.0000 0.5000 0.2500 x4  4 Cd 3.28, 6 Sb 3.28-3.39

**Final energy**: -0.2301 Ry per atom
**E_form (uncorrected)**: 0.190 eV/atom
**Energy above the most stable polymorph in this dataset**: 0.1336 eV per atom